[1]
Computed, not measured: crystalline HfRh3 at its relaxed geometry at the GGA-PBE level of DFT.

Computed properties:
ρ, kg/m³: 13039
Final energy, eV/atom: -8.631
Fermi-level density of states, states/eV/f.u.: 4.21
Calculated formation energy, meV/atom: -630

Lattice parameters (Å, degrees): 3.9843 3.9843 4.8182 114.42 114.42 90.00
Atoms (fractional coordinates):
Rh (0.5000, 0.5000, 0.0000)
Rh (0.7500, 0.2500, 0.5000)
Hf (0.0000, 0.0000, 0.0000)
Rh (0.2500, 0.7500, 0.5000)



[2]
Computed, not measured: crystalline Sr3U5O12 at its relaxed geometry at the GGA-PBE level of DFT.

Computed properties:
ρ, kg/m³: 7841
Final energy, eV/atom: -8.999
Fermi-level density of states, states/eV/f.u.: 24.66
E_form (uncorrected), kJ/mol of atoms: -284.58

Lattice parameters (Å, degrees): 12.1875 12.1875 12.1875 109.47 109.47 109.47
Atoms (fractional coordinates):
Sr (0.3750, 0.7500, 0.6250)
U (0.5000, 0.0000, 0.0000)
O (0.5774, 0.7009, 0.6725)
O (0.0774, 0.1725, 0.2009)
O (0.4049, 0.3765, 0.5774)
U (0.0000, 0.0000, 0.5000)
Sr (0.8750, 0.7500, 0.1250)
O (0.4226, 0.1235, 0.5951)
O (0.9226, 0.8275, 0.7991)
U (0.0000, 0.5000, 0.5000)
O (0.6725, 0.4716, 0.5951)
O (0.3765, 0.4049, 0.0774)
U (0.0000, 0.5000, 0.0000)
Sr (0.6250, 0.2500, 0.3750)
O (0.7009, 0.5774, 0.1725)
Sr (0.7500, 0.3750, 0.1250)
O (0.5284, 0.2009, 0.1235)
O (0.1725, 0.0951, 0.9716)
O (0.6235, 0.5951, 0.9226)
U (0.2500, 0.3750, 0.6250)
Sr (0.7500, 0.8750, 0.6250)
O (0.1235, 0.7009, 0.5284)
Sr (0.3750, 0.6250, 0.2500)
Sr (0.8750, 0.1250, 0.2500)
U (0.0000, 0.0000, 0.0000)
O (0.8765, 0.5774, 0.9049)
O (0.9716, 0.3765, 0.2991)
O (0.4716, 0.6725, 0.0951)
O (0.9049, 0.8275, 0.5284)
O (0.2991, 0.8765, 0.9716)
U (0.3750, 0.2500, 0.1250)
U (0.2500, 0.8750, 0.1250)
O (0.0774, 0.9049, 0.3765)
O (0.3275, 0.7991, 0.4226)
Sr (0.2500, 0.1250, 0.3750)
O (0.8765, 0.2991, 0.4716)
U (0.6250, 0.8750, 0.2500)
U (0.5000, 0.5000, 0.0000)
U (0.1250, 0.3750, 0.2500)
Sr (0.6250, 0.3750, 0.7500)
O (0.5284, 0.3275, 0.9049)
O (0.0284, 0.4049, 0.8275)
O (0.7991, 0.4716, 0.3765)
U (0.8750, 0.2500, 0.6250)
U (0.5000, 0.0000, 0.5000)
O (0.4049, 0.0284, 0.3275)
U (0.6250, 0.7500, 0.8750)
U (0.3750, 0.1250, 0.7500)
O (0.4716, 0.7991, 0.8765)
U (0.7500, 0.1250, 0.8750)
U (0.8750, 0.6250, 0.7500)
O (0.0951, 0.9226, 0.1235)
O (0.2991, 0.4226, 0.8275)
O (0.2009, 0.6725, 0.0774)
U (0.5000, 0.5000, 0.5000)
U (0.1250, 0.7500, 0.3750)
O (0.6235, 0.0284, 0.2009)
Sr (0.1250, 0.8750, 0.7500)
U (0.7500, 0.6250, 0.3750)
O (0.5774, 0.8765, 0.4049)
Sr (0.2500, 0.6250, 0.8750)
O (0.8275, 0.9049, 0.0284)
O (0.5951, 0.9716, 0.6725)
O (0.4226, 0.2991, 0.3275)
O (0.8275, 0.9226, 0.2991)
O (0.3275, 0.5284, 0.4049)
O (0.3765, 0.9716, 0.7991)
O (0.9716, 0.5951, 0.1725)
O (0.9226, 0.0951, 0.6235)
Sr (0.1250, 0.2500, 0.8750)
O (0.0284, 0.6235, 0.7009)
O (0.2009, 0.5284, 0.6235)
O (0.1235, 0.4226, 0.0951)
O (0.1725, 0.0774, 0.7009)
O (0.5951, 0.6235, 0.4226)
O (0.7991, 0.3275, 0.9226)
O (0.6725, 0.2009, 0.5774)
O (0.7009, 0.1235, 0.0284)
O (0.9049, 0.0774, 0.8765)
O (0.0951, 0.1725, 0.4716)



[3]
Computed, not measured: crystalline Ca2Hg2F at its relaxed geometry at the GGA-PBE level of DFT.

Computed properties:
ρ, kg/m³: 6518
Final energy, eV/atom: -2.528
Fermi-level density of states, states/eV/f.u.: 3.12
E_form (uncorrected), kJ/mol of atoms: -118.95

Lattice parameters (Å, degrees): 6.8862 6.8862 5.3764 90.00 90.00 90.00
Atoms (fractional coordinates):
Ca (0.6890, 0.1890, 0.0000)
Hg (0.1450, 0.6450, 0.5000)
Ca (0.1890, 0.3110, 0.0000)
Hg (0.6450, 0.8550, 0.5000)
Ca (0.3110, 0.8110, 0.0000)
F (0.5000, 0.5000, 0.0000)
Hg (0.3550, 0.1450, 0.5000)
F (0.0000, 0.0000, 0.0000)
Hg (0.8550, 0.3550, 0.5000)
Ca (0.8110, 0.6890, 0.0000)



[4]
Computed, not measured: crystalline Ac3S3N at its relaxed geometry at the GGA-PBE level of DFT.

Computed properties:
ρ, kg/m³: 6651
Final energy, eV/atom: -6.591
Fermi-level density of states, states/eV/f.u.: 0.00
Excess energy over the best structure of this formula in the dataset, eV per atom: 0.065
E_form (uncorrected), kJ/mol of atoms: -180.64

Lattice parameters (Å, degrees): 7.6506 7.6506 7.4742 95.05 95.05 113.79
Atoms (fractional coordinates):
S (0.1676, 0.8324, 0.5000)
Ac (0.4680, 0.1650, 0.2687)
S (0.4019, 0.4019, 0.6584)
S (0.2364, 0.7636, 0.0000)
Ac (0.1032, 0.1032, 0.8034)
N (0.1836, 0.1836, 0.1402)
Ac (0.5320, 0.8350, 0.7313)
Ac (0.8350, 0.5320, 0.7313)
N (0.8164, 0.8164, 0.8598)
S (0.7636, 0.2364, 0.0000)
Ac (0.8968, 0.8968, 0.1966)
S (0.8324, 0.1676, 0.5000)
Ac (0.1650, 0.4680, 0.2687)
S (0.5981, 0.5981, 0.3416)



[5]
Computed, not measured: crystalline Nd5Y4Tm2 at its relaxed geometry at the GGA-PBE level of DFT.

Computed properties:
ρ, kg/m³: 6404
Final energy, eV/atom: -5.220
Fermi-level density of states, states/eV/f.u.: 14.12
Excess energy over the best structure of this formula in the dataset, eV per atom: 0.000
Calculated formation energy, meV/atom: 111

Lattice parameters (Å, degrees): 6.6814 6.6814 9.4132 75.29 75.29 66.36
Atoms (fractional coordinates):
Nd (0.6558, 0.2143, 0.7693)
Nd (0.2143, 0.6558, 0.7693)
Nd (0.7857, 0.3442, 0.2307)
Nd (0.0000, 0.0000, 0.5000)
Y (0.3338, 0.3338, 0.1188)
Y (0.6977, 0.6977, 0.4954)
Y (0.3023, 0.3023, 0.5046)
Nd (0.3442, 0.7857, 0.2307)
Y (0.6662, 0.6662, 0.8812)
Tm (0.8536, 0.8536, 0.1143)
Tm (0.1464, 0.1464, 0.8857)



[6]
Computed, not measured: crystalline Ho3Ag5Te12 at its relaxed geometry at the GGA-PBE level of DFT.

Computed properties:
ρ, kg/m³: 6691
Final energy, eV/atom: -3.662
Fermi-level density of states, states/eV/f.u.: 17.61
E_form (uncorrected), kJ/mol of atoms: -36.44

Lattice parameters (Å, degrees): 14.9001 14.9001 14.9001 109.47 109.47 109.47
Atoms (fractional coordinates):
Te (0.2204, 0.5498, 0.6348)
Ag (0.0000, 0.5000, 0.0000)
Te (0.4144, 0.1348, 0.5850)
Te (0.4144, 0.2796, 0.3294)
Ho (0.7500, 0.8750, 0.6250)
Te (0.5850, 0.9502, 0.6706)
Ag (0.5000, 0.0000, 0.5000)
Ho (0.8750, 0.7500, 0.1250)
Ag (0.6250, 0.8750, 0.2500)
Ag (0.3750, 0.1250, 0.7500)
Ag (0.5000, 0.0000, 0.0000)
Ag (0.5000, 0.5000, 0.0000)
Te (0.5498, 0.3294, 0.9150)
Te (0.2796, 0.8652, 0.9502)
Ho (0.6250, 0.2500, 0.3750)
Te (0.5850, 0.6348, 0.4144)
Te (0.4150, 0.0498, 0.3294)
Te (0.6706, 0.2204, 0.5856)
Ag (0.0000, 0.0000, 0.0000)
Te (0.7204, 0.1348, 0.0498)
Ag (0.0000, 0.5000, 0.5000)
Te (0.6348, 0.0498, 0.2204)
Te (0.0850, 0.9144, 0.1348)
Ag (0.1250, 0.3750, 0.2500)
Te (0.9150, 0.8294, 0.5498)
Te (0.5856, 0.8652, 0.4150)
Ag (0.6250, 0.7500, 0.8750)
Te (0.5498, 0.2204, 0.1348)
Ho (0.1250, 0.8750, 0.7500)
Te (0.7796, 0.4502, 0.3652)
Ho (0.2500, 0.6250, 0.8750)
Te (0.8652, 0.2796, 0.4502)
Ag (0.2500, 0.8750, 0.1250)
Te (0.0856, 0.1706, 0.2204)
Te (0.1348, 0.4144, 0.0850)
Ho (0.7500, 0.3750, 0.1250)
Ag (0.2500, 0.3750, 0.6250)
Te (0.4150, 0.3652, 0.5856)
Ho (0.1250, 0.2500, 0.8750)
Te (0.8294, 0.9150, 0.0498)
Te (0.4502, 0.6706, 0.0850)
Te (0.2796, 0.4144, 0.8294)
Te (0.9502, 0.3652, 0.2796)
Te (0.9144, 0.8294, 0.7796)
Ag (0.5000, 0.5000, 0.5000)
Ag (0.8750, 0.6250, 0.7500)
Te (0.9150, 0.0856, 0.8652)
Te (0.0498, 0.4150, 0.8294)
Te (0.3652, 0.9502, 0.7796)
Te (0.1706, 0.0850, 0.9502)
Te (0.4502, 0.7796, 0.8652)
Te (0.6706, 0.4502, 0.5850)
Ag (0.8750, 0.2500, 0.6250)
Te (0.5856, 0.7204, 0.6706)
Te (0.8294, 0.9144, 0.2796)
Te (0.3294, 0.5498, 0.4150)
Ho (0.3750, 0.7500, 0.6250)
Te (0.0850, 0.1706, 0.4502)
Te (0.1706, 0.0856, 0.7204)
Ho (0.8750, 0.1250, 0.2500)
Te (0.1348, 0.7204, 0.5498)
Te (0.9502, 0.5850, 0.1706)
Te (0.0856, 0.9150, 0.3652)
Ag (0.0000, 0.0000, 0.5000)
Te (0.7204, 0.5856, 0.1706)
Ag (0.3750, 0.2500, 0.1250)
Ag (0.7500, 0.6250, 0.3750)
Te (0.9144, 0.0850, 0.6348)
Te (0.3294, 0.7796, 0.4144)
Ho (0.6250, 0.3750, 0.7500)
Ho (0.2500, 0.1250, 0.3750)
Ho (0.3750, 0.6250, 0.2500)
Te (0.6348, 0.5850, 0.9144)
Ag (0.7500, 0.1250, 0.8750)
Ag (0.1250, 0.7500, 0.3750)
Te (0.0498, 0.6348, 0.7204)
Te (0.8652, 0.5856, 0.9150)
Te (0.3652, 0.4150, 0.0856)
Te (0.7796, 0.3294, 0.9144)
Te (0.2204, 0.6706, 0.0856)



[7]
Computed, not measured: crystalline NdDyMg2Au4 at its relaxed geometry at the GGA-PBE level of DFT.

Computed properties:
ρ, kg/m³: 10977
Final energy, eV/atom: -3.965
Fermi-level density of states, states/eV/f.u.: 4.53
Calculated formation energy, meV/atom: -756

Lattice parameters (Å, degrees): 4.9676 4.9676 8.5856 73.18 73.18 60.00
Atoms (fractional coordinates):
Mg (0.2493, 0.2493, 0.2522)
Au (0.1288, 0.1288, 0.6135)
Mg (0.7507, 0.7507, 0.7478)
Nd (0.0000, 0.0000, 0.0000)
Dy (0.5000, 0.5000, 0.5000)
Au (0.8712, 0.8712, 0.3865)
Au (0.6215, 0.6215, 0.1356)
Au (0.3785, 0.3785, 0.8644)



[8]
Computed, not measured: crystalline HfCoSn at its relaxed geometry at the GGA-PBE level of DFT.

Computed properties:
ρ, kg/m³: 11046
Final energy, eV/atom: -7.284
Fermi-level density of states, states/eV/f.u.: 1.61
Calculated formation energy, meV/atom: -263

Lattice parameters (Å, degrees): 6.5310 6.5310 4.3478 90.00 90.00 120.00
Atoms (fractional coordinates):
Hf (0.4786, 0.0000, 0.5000)
Sn (0.6667, 0.3333, 0.0000)
Co (0.2337, 0.2337, 0.0000)
Hf (0.0000, 0.4786, 0.5000)
Co (0.0000, 0.7663, 0.0000)
Sn (0.0000, 0.0000, 0.5000)
Hf (0.5214, 0.5214, 0.5000)
Sn (0.3333, 0.6667, 0.0000)
Co (0.7663, 0.0000, 0.0000)



Repeat the eighth record exactly.
Computed, not measured: crystalline HfCoSn at its relaxed geometry at the GGA-PBE level of DFT.

Computed properties:
ρ, kg/m³: 11046
Final energy, eV/atom: -7.284
Fermi-level density of states, states/eV/f.u.: 1.61
Calculated formation energy, meV/atom: -263

Lattice parameters (Å, degrees): 6.5310 6.5310 4.3478 90.00 90.00 120.00
Atoms (fractional coordinates):
Hf (0.4786, 0.0000, 0.5000)
Sn (0.6667, 0.3333, 0.0000)
Co (0.2337, 0.2337, 0.0000)
Hf (0.0000, 0.4786, 0.5000)
Co (0.0000, 0.7663, 0.0000)
Sn (0.0000, 0.0000, 0.5000)
Hf (0.5214, 0.5214, 0.5000)
Sn (0.3333, 0.6667, 0.0000)
Co (0.7663, 0.0000, 0.0000)



- What is the ρ in the fifth record?
  6404 kg/m³



- Which of these has the lowest Fermi-level density of states?
  Ac3S3N



- Look up the ρ of the first one.
  13039 kg/m³